No. 1
A relaxed structure of LaTbCe2Sb4, computed with PBE.

Values from the calculation:
Formation energy without anion corrections   -1.123 eV per atom
VASP energy   -46.9 eV/f.u.

```
data_LaTbCe2Sb4
_cell_length_a 7.809
_cell_length_b 4.509
_cell_length_c 7.813
_cell_angle_alpha 90.00
_cell_angle_beta 109.45
_cell_angle_gamma 90.00
_space_group_name_H-M_alt 'P 1 2/m 1'
_space_group_IT_number 10
_space_group_name_Hall '-P 2y'
loop_
_atom_site_label
_atom_site_type_symbol
_atom_site_fract_x
_atom_site_fract_y
_atom_site_fract_z
La1 La 0.000 0.000 0.000
Tb1 Tb 0.500 0.500 0.000
Ce1 Ce 0.000 0.500 0.500
Ce2 Ce 0.500 0.000 0.500
Sb1 Sb 0.256 0.000 0.751
Sb2 Sb 0.257 0.500 0.254
```

=====

No. 2
A relaxed structure of BiSO2, computed with PBE.

Values from the calculation:
Formation energy without anion corrections   0.201 eV per atom
Offset from the most stable computed form   1217 meV/atom
VASP energy   -17.1 eV/f.u.

```
data_BiSO2
_cell_length_a 6.062
_cell_length_b 6.062
_cell_length_c 6.062
_cell_angle_alpha 90.00
_cell_angle_beta 90.00
_cell_angle_gamma 90.00
_space_group_name_H-M_alt 'F m -3 m'
_space_group_IT_number 225
_space_group_name_Hall '-F 4 2 3'
loop_
_atom_site_label
_atom_site_type_symbol
_atom_site_fract_x
_atom_site_fract_y
_atom_site_fract_z
Bi1 Bi 0.000 0.000 0.000
S1 S 0.000 0.000 0.500
O1 O 0.250 0.250 0.250
```

=====

No. 3
A relaxed structure of Hf2B6Mo, computed with PBE.

Values from the calculation:
ΔE_f   -0.77 eV/atom
VASP energy   -77.7 eV/f.u.

```
data_Hf2B6Mo
_cell_length_a 5.3691
_cell_length_b 5.3691
_cell_length_c 3.4565
_cell_angle_alpha 90.00
_cell_angle_beta 90.00
_cell_angle_gamma 120.00
_space_group_name_H-M_alt 'P 6/m m m'
_space_group_IT_number 191
_space_group_name_Hall '-P 6 2'
loop_
_atom_site_label
_atom_site_type_symbol
_atom_site_fract_x
_atom_site_fract_y
_atom_site_fract_z
Hf1 Hf 0.3333 0.6667 0.0000
B1 B 0.0000 0.3303 0.5000
Mo1 Mo 0.0000 0.0000 0.0000
```

=====

No. 4
A relaxed structure of ZrCr, computed with PBE.

Values from the calculation:
ΔE_f   0.37 eV/atom
VASP energy   -17.4 eV/f.u.

```
data_ZrCr
_cell_length_a 4.046
_cell_length_b 4.046
_cell_length_c 9.096
_cell_angle_alpha 90.00
_cell_angle_beta 90.00
_cell_angle_gamma 90.00
_space_group_name_H-M_alt 'I 41/a m d'
_space_group_IT_number 141
loop_
_space_group_symop_operation_xyz
'x,y,z'
'-x,-y,-z'
'-y+1/4,x+3/4,z+1/4'
'y+1/4,-x+3/4,-z+1/4'
'-x+1/2,-y,z+1/2'
'x+1/2,y,-z+1/2'
'y+1/4,-x+1/4,z+3/4'
'-y+1/4,x+1/4,-z+3/4'
'x,-y,-z'
'-x,y,z'
'-y+1/4,-x+1/4,-z+3/4'
'y+1/4,x+1/4,z+3/4'
'-x+1/2,y,-z+1/2'
'x+1/2,-y,z+1/2'
'y+1/4,x+3/4,-z+1/4'
'-y+1/4,-x+3/4,z+1/4'
'x+1/2,y+1/2,z+1/2'
'-x+1/2,-y+1/2,-z+1/2'
'-y+3/4,x+1/4,z+3/4'
'y+3/4,-x+1/4,-z+3/4'
'-x,-y+1/2,z'
'x,y+1/2,-z'
'y+3/4,-x+3/4,z+1/4'
'-y+3/4,x+3/4,-z+1/4'
'x+1/2,-y+1/2,-z+1/2'
'-x+1/2,y+1/2,z+1/2'
'-y+3/4,-x+3/4,-z+1/4'
'y+3/4,x+3/4,z+1/4'
'-x,y+1/2,-z'
'x,-y+1/2,z'
'y+3/4,x+1/4,-z+3/4'
'-y+3/4,-x+1/4,z+3/4'
loop_
_atom_site_label
_atom_site_type_symbol
_atom_site_fract_x
_atom_site_fract_y
_atom_site_fract_z
Zr1 Zr 0.000 0.250 0.375
Cr1 Cr 0.000 0.250 0.875
```

=====

No. 5
A relaxed structure of Pm5PuPb6, computed with PBE.

Values from the calculation:
ΔE_f   -0.40 eV/atom
VASP energy   -65.1 eV/f.u.

```
data_Pm5PuPb6
_cell_length_a 6.153
_cell_length_b 16.117
_cell_length_c 7.648
_cell_angle_alpha 90.00
_cell_angle_beta 101.22
_cell_angle_gamma 90.00
_space_group_name_H-M_alt 'C 1 2/m 1'
_space_group_IT_number 12
_space_group_name_Hall '-C 2y'
loop_
_atom_site_label
_atom_site_type_symbol
_atom_site_fract_x
_atom_site_fract_y
_atom_site_fract_z
Pm1 Pm 0.000 0.000 0.000
Pm2 Pm 0.000 0.333 0.500
Pm3 Pm 0.000 0.335 0.000
Pu1 Pu 0.000 0.000 0.500
Pb1 Pb 0.000 0.167 0.250
Pb2 Pb 0.001 0.500 0.252
```

=====

No. 6
A relaxed structure of Ac6Rh2SBr3, computed with PBE.

Values from the calculation:
Formation energy without anion corrections   -1.275 eV per atom
VASP energy   -63.8 eV/f.u.

```
data_Ac6Rh2SBr3
_cell_length_a 7.627
_cell_length_b 13.207
_cell_length_c 8.526
_cell_angle_alpha 90.00
_cell_angle_beta 107.30
_cell_angle_gamma 90.00
_space_group_name_H-M_alt 'C 1 2/m 1'
_space_group_IT_number 12
_space_group_name_Hall '-C 2y'
loop_
_atom_site_label
_atom_site_type_symbol
_atom_site_fract_x
_atom_site_fract_y
_atom_site_fract_z
Ac1 Ac 0.218 0.000 0.197
Ac2 Ac 0.240 0.326 0.198
Rh1 Rh 0.000 0.167 0.000
S1 S 0.000 0.500 0.000
Br1 Br 0.000 0.000 0.500
Br2 Br 0.000 0.336 0.500
```